#i
First-principles (GGA-PBE) data for a relaxed RbAuN2F crystal, as listed in Alexandria.

Cell and atoms, written as POSCAR:
```
RbAuN2F
1.0
3.994 0.000 0.000
0.000 3.994 0.000
0.000 0.000 6.183
Rb Au N F
1 1 2 1
Direct
0.000 0.000 0.000
0.500 0.500 0.500
0.000 0.500 0.500
0.500 0.000 0.500
0.500 0.500 0.000
```

#ii
First-principles (GGA-PBE) data for a relaxed RbAuN2F crystal, as listed in Alexandria.

Cell and atoms, written as POSCAR:
```
RbAuN2F
1.0
5.763 0.000 0.000
0.000 5.763 0.000
0.000 0.000 4.953
Rb Au N F
1 1 2 1
Direct
0.000 0.000 0.000
0.500 0.500 0.500
0.000 0.500 0.000
0.500 0.000 0.000
0.000 0.000 0.500
```

Order from most stable to least stable according to the calculation: #i, #ii

#i
First-principles (GGA-PBE) data for a relaxed RuAuNF crystal, as listed in Alexandria.

Cell and atoms, written as POSCAR:
```
RuAuNF
1.0
2.976 0.000 0.000
0.000 2.426 4.637
0.000 -2.426 4.637
Ru Au N F
1 1 1 1
Direct
0.000 0.000 0.000
0.500 0.510 0.510
0.500 0.889 0.889
0.000 0.211 0.211
```

#ii
First-principles (GGA-PBE) data for a relaxed RuAuNF crystal, as listed in Alexandria.

Cell and atoms, written as POSCAR:
```
RuAuNF
1.0
3.022 0.000 0.000
-1.493 2.632 0.000
-0.250 -1.368 8.958
Ru Au N F
1 1 1 1
Direct
0.000 0.000 0.000
0.508 0.109 0.542
0.640 0.295 0.924
0.387 0.745 0.156
```

Order from most stable to least stable according to the calculation: #ii, #i

#i
First-principles (GGA-PBE) data for a relaxed RuAuNF crystal, as listed in Alexandria.

Cell and atoms, written as POSCAR:
```
RuAuNF
1.0
2.867 0.000 0.000
0.000 1.403 7.479
0.000 -1.403 7.479
Ru Au N F
1 1 1 1
Direct
0.000 0.000 0.000
0.000 0.281 0.281
0.000 0.417 0.417
0.000 0.137 0.137
```

#ii
First-principles (GGA-PBE) data for a relaxed RuAuNF crystal, as listed in Alexandria.

Cell and atoms, written as POSCAR:
```
RuAuNF
1.0
1.613 0.931 6.068
-1.613 0.931 6.068
0.000 -1.862 6.068
Ru Au N F
1 1 1 1
Direct
0.000 0.000 0.000
0.554 0.554 0.554
0.357 0.357 0.357
0.133 0.133 0.133
```

#iii
First-principles (GGA-PBE) data for a relaxed RuAuNF crystal, as listed in Alexandria.

Cell and atoms, written as POSCAR:
```
RuAuNF
1.0
3.247 0.000 0.000
1.607 2.824 0.000
1.324 0.750 6.599
Ru Au N F
1 1 1 1
Direct
0.000 0.000 0.000
0.166 0.164 0.374
0.314 0.315 0.068
0.006 0.994 0.688
```

Order from most stable to least stable according to the calculation: #ii, #iii, #i

#i
First-principles (GGA-PBE) data for a relaxed RuAuNF crystal, as listed in Alexandria.

Cell and atoms, written as POSCAR:
```
RuAuNF
1.0
3.005 0.000 0.000
1.470 3.001 0.000
0.101 0.263 6.918
Ru Au N F
1 1 1 1
Direct
0.000 0.000 0.000
0.004 0.994 0.617
0.321 0.365 0.989
0.014 0.924 0.304
```

#ii
First-principles (GGA-PBE) data for a relaxed RuAuNF crystal, as listed in Alexandria.

Cell and atoms, written as POSCAR:
```
RuAuNF
1.0
4.846 0.000 0.000
0.000 3.084 0.000
-1.256 0.000 4.805
Ru Au N F
1 1 1 1
Direct
0.000 0.000 0.000
0.051 0.500 0.548
0.166 0.500 0.160
0.586 0.000 0.894
```

#iii
First-principles (GGA-PBE) data for a relaxed RuAuNF crystal, as listed in Alexandria.

Cell and atoms, written as POSCAR:
```
RuAuNF
1.0
3.239 0.000 0.000
0.000 4.121 0.000
0.000 0.000 5.208
Ru Au N F
1 1 1 1
Direct
0.000 0.000 0.000
0.500 0.000 0.572
0.500 0.000 0.164
0.000 0.500 0.956
```

Order from most stable to least stable according to the calculation: #i, #iii, #ii

#i
First-principles (GGA-PBE) data for a relaxed AuSNF2 crystal, as listed in Alexandria.

Cell and atoms, written as POSCAR:
```
AuSNF2
1.0
4.406 0.000 0.000
0.000 4.406 0.000
0.000 0.000 4.026
Au S N F
1 1 1 2
Direct
0.000 0.000 0.000
0.500 0.500 0.500
0.000 0.000 0.500
0.000 0.500 0.000
0.500 0.000 0.000
```

#ii
First-principles (GGA-PBE) data for a relaxed AuSNF2 crystal, as listed in Alexandria.

Cell and atoms, written as POSCAR:
```
AuSNF2
1.0
4.593 0.000 0.000
0.000 4.593 0.000
0.000 0.000 3.294
Au S N F
1 1 1 2
Direct
0.000 0.000 0.000
0.500 0.500 0.500
0.500 0.500 0.000
0.000 0.500 0.500
0.500 0.000 0.500
```

Order from most stable to least stable according to the calculation: #ii, #i

#i
First-principles (GGA-PBE) data for a relaxed SbAuNF2 crystal, as listed in Alexandria.

Cell and atoms, written as POSCAR:
```
SbAuNF2
1.0
4.544 0.000 0.000
0.000 4.544 0.000
0.000 0.000 3.933
Sb Au N F
1 1 1 2
Direct
0.000 0.000 0.000
0.500 0.500 0.500
0.500 0.500 0.000
0.000 0.500 0.500
0.500 0.000 0.500
```

#ii
First-principles (GGA-PBE) data for a relaxed SbAuNF2 crystal, as listed in Alexandria.

Cell and atoms, written as POSCAR:
```
SbAuNF2
1.0
4.340 0.000 0.000
0.000 4.340 0.000
0.000 0.000 4.155
Sb Au N F
1 1 1 2
Direct
0.000 0.000 0.000
0.500 0.500 0.500
0.000 0.000 0.500
0.000 0.500 0.000
0.500 0.000 0.000
```

Order from most stable to least stable according to the calculation: #ii, #i

#i
First-principles (GGA-PBE) data for a relaxed SbAuN2F crystal, as listed in Alexandria.

Cell and atoms, written as POSCAR:
```
SbAuN2F
1.0
4.100 0.000 0.000
0.000 4.100 0.000
0.000 0.000 4.119
Sb Au N F
1 1 2 1
Direct
0.000 0.000 0.000
0.500 0.500 0.500
0.000 0.500 0.000
0.500 0.000 0.000
0.000 0.000 0.500
```

#ii
First-principles (GGA-PBE) data for a relaxed SbAuN2F crystal, as listed in Alexandria.

Cell and atoms, written as POSCAR:
```
SbAuN2F
1.0
4.153 0.000 0.000
0.000 4.153 0.000
0.000 0.000 4.187
Sb Au N F
1 1 2 1
Direct
0.000 0.000 0.000
0.500 0.500 0.500
0.000 0.500 0.500
0.500 0.000 0.500
0.500 0.500 0.000
```

Order from most stable to least stable according to the calculation: #i, #ii

#i
First-principles (GGA-PBE) data for a relaxed ScAuNF2 crystal, as listed in Alexandria.

Cell and atoms, written as POSCAR:
```
ScAuNF2
1.0
4.549 0.000 0.000
0.000 4.549 0.000
0.000 0.000 3.871
Sc Au N F
1 1 1 2
Direct
0.000 0.000 0.000
0.500 0.500 0.500
0.500 0.500 0.000
0.000 0.500 0.500
0.500 0.000 0.500
```

#ii
First-principles (GGA-PBE) data for a relaxed ScAuNF2 crystal, as listed in Alexandria.

Cell and atoms, written as POSCAR:
```
ScAuNF2
1.0
3.928 0.000 0.000
0.000 3.928 0.000
0.000 0.000 4.643
Sc Au N F
1 1 1 2
Direct
0.000 0.000 0.000
0.500 0.500 0.500
0.000 0.000 0.500
0.000 0.500 0.000
0.500 0.000 0.000
```

Order from most stable to least stable according to the calculation: #ii, #i

#i
First-principles (GGA-PBE) data for a relaxed SiAuNF2 crystal, as listed in Alexandria.

Cell and atoms, written as POSCAR:
```
SiAuNF2
1.0
4.628 0.000 0.000
0.000 4.628 0.000
0.000 0.000 3.789
Si Au N F
1 1 1 2
Direct
0.000 0.000 0.000
0.500 0.500 0.500
0.500 0.500 0.000
0.000 0.500 0.500
0.500 0.000 0.500
```

#ii
First-principles (GGA-PBE) data for a relaxed SiAuNF2 crystal, as listed in Alexandria.

Cell and atoms, written as POSCAR:
```
SiAuNF2
1.0
4.161 0.000 0.000
0.000 4.161 0.000
0.000 0.000 3.326
Si Au N F
1 1 1 2
Direct
0.000 0.000 0.000
0.500 0.500 0.500
0.000 0.000 0.500
0.000 0.500 0.000
0.500 0.000 0.000
```

Order from most stable to least stable according to the calculation: #ii, #i

#i
First-principles (GGA-PBE) data for a relaxed SrAuN2F crystal, as listed in Alexandria.

Cell and atoms, written as POSCAR:
```
SrAuN2F
1.0
3.982 0.000 0.000
0.000 3.982 0.000
0.000 0.000 5.182
Sr Au N F
1 1 2 1
Direct
0.000 0.000 0.000
0.500 0.500 0.500
0.000 0.500 0.500
0.500 0.000 0.500
0.500 0.500 0.000
```

#ii
First-principles (GGA-PBE) data for a relaxed SrAuN2F crystal, as listed in Alexandria.

Cell and atoms, written as POSCAR:
```
SrAuN2F
1.0
5.113 0.000 0.000
0.000 5.113 0.000
0.000 0.000 4.532
Sr Au N F
1 1 2 1
Direct
0.000 0.000 0.000
0.500 0.500 0.500
0.000 0.500 0.000
0.500 0.000 0.000
0.000 0.000 0.500
```

Order from most stable to least stable according to the calculation: #i, #ii

#i
First-principles (GGA-PBE) data for a relaxed TiAuNF2 crystal, as listed in Alexandria.

Cell and atoms, written as POSCAR:
```
TiAuNF2
1.0
4.566 0.000 0.000
0.000 4.566 0.000
0.000 0.000 3.833
Ti Au N F
1 1 1 2
Direct
0.000 0.000 0.000
0.500 0.500 0.500
0.500 0.500 0.000
0.000 0.500 0.500
0.500 0.000 0.500
```

#ii
First-principles (GGA-PBE) data for a relaxed TiAuNF2 crystal, as listed in Alexandria.

Cell and atoms, written as POSCAR:
```
TiAuNF2
1.0
3.964 0.000 0.000
0.000 3.964 0.000
0.000 0.000 4.047
Ti Au N F
1 1 1 2
Direct
0.000 0.000 0.000
0.500 0.500 0.500
0.000 0.000 0.500
0.000 0.500 0.000
0.500 0.000 0.000
```

Order from most stable to least stable according to the calculation: #ii, #i

#i
First-principles (GGA-PBE) data for a relaxed TiAuN2F crystal, as listed in Alexandria.

Cell and atoms, written as POSCAR:
```
TiAuN2F
1.0
4.024 0.000 0.000
0.000 4.024 0.000
0.000 0.000 3.848
Ti Au N F
1 1 2 1
Direct
0.000 0.000 0.000
0.500 0.500 0.500
0.000 0.500 0.000
0.500 0.000 0.000
0.000 0.000 0.500
```

#ii
First-principles (GGA-PBE) data for a relaxed TiAuN2F crystal, as listed in Alexandria.

Cell and atoms, written as POSCAR:
```
TiAuN2F
1.0
4.045 0.000 0.000
0.000 4.045 0.000
0.000 0.000 4.126
Ti Au N F
1 1 2 1
Direct
0.000 0.000 0.000
0.500 0.500 0.500
0.000 0.500 0.500
0.500 0.000 0.500
0.500 0.500 0.000
```

Order from most stable to least stable according to the calculation: #i, #ii